The following is a DFT calculation (GGA-PBE) of an optimized crystal structure of PrCuGe2Ir.

Cell lengths 4.3256, 4.3256, 10.0086 Å; angles 90.00, 90.00, 90.00 degrees
Fractional coordinates of all 10 atoms:
Pr1 0.2500 0.2500 0.2477
Pr2 0.7500 0.7500 0.7523
Cu1 0.2500 0.7500 0.0000
Cu2 0.7500 0.2500 0.0000
Ge1 0.2500 0.2500 0.8695
Ge2 0.2500 0.7500 0.5000
Ge3 0.7500 0.2500 0.5000
Ge4 0.7500 0.7500 0.1305
Ir1 0.2500 0.2500 0.6243
Ir2 0.7500 0.7500 0.3757

Properties
- Space-group type: P4/nmm (129)
- Calculated total energy: -5.958 eV per atom

=====

The following is a DFT calculation (GGA-PBE) of an optimized crystal structure of Nd2Sm2B2I2Br3.

Cell lengths 10.5915, 10.5915, 8.4116 Å; angles 102.22, 102.22, 21.95 degrees
Fractional coordinates of all 11 atoms:
Nd1 0.0013 0.0013 0.2050
Nd2 0.9987 0.9987 0.7950
Sm1 0.3438 0.3438 0.8992
Sm2 0.6562 0.6562 0.1008
B1 0.4613 0.4613 0.9774
B2 0.5387 0.5387 0.0226
I1 0.1688 0.1688 0.8207
I2 0.8312 0.8312 0.1793
Br1 0.1578 0.1578 0.3509
Br2 0.5000 0.5000 0.5000
Br3 0.8422 0.8422 0.6491

Properties
- Space-group type: C2/m (12)
- Calculated total energy: -4.837 eV per atom

=====

The following is a DFT calculation (GGA-PBE) of an optimized crystal structure of LaErZn2Ge2.

Cell lengths 4.2968, 4.2968, 16.1386 Å; angles 90.00, 90.00, 120.00 degrees
Fractional coordinates of all 12 atoms:
La1 0.0000 0.0000 0.0000
La2 0.0000 0.0000 0.5000
Er1 0.0000 0.0000 0.2500
Er2 0.0000 0.0000 0.7500
Zn1 0.3333 0.6667 0.1559
Zn2 0.3333 0.6667 0.3441
Zn3 0.6667 0.3333 0.6559
Zn4 0.6667 0.3333 0.8441
Ge1 0.3333 0.6667 0.6205
Ge2 0.3333 0.6667 0.8795
Ge3 0.6667 0.3333 0.1205
Ge4 0.6667 0.3333 0.3795

Properties
- Space-group type: P6_3/mmc (194)
- Relative energy among the computed polymorphs: 0 meV per atom
- Calculated total energy: -4.240 eV per atom

=====

The following is a DFT calculation (GGA-PBE) of an optimized crystal structure of LiTaBe2.

Cell lengths 4.0036, 4.0036, 4.0036 Å; angles 60.00, 60.00, 60.00 degrees
Fractional coordinates of all 4 atoms:
Li1 0.0000 0.0000 0.0000
Ta1 0.2500 0.2500 0.2500
Be1 0.5000 0.5000 0.5000
Be2 0.7500 0.7500 0.7500

Properties
- Space-group type: F-43m (216)
- Calculated total energy: -4.933 eV per atom

=====

The following is a DFT calculation (GGA-PBE) of an optimized crystal structure of PmCu4Mo2.

Cell lengths 4.3198, 4.3198, 7.9244 Å; angles 90.48, 90.48, 60.00 degrees
Fractional coordinates of all 7 atoms:
Pm1 0.0000 0.0000 0.0000
Cu1 0.0007 0.0007 0.6582
Cu2 0.6654 0.6654 0.8152
Cu3 0.6678 0.6678 0.1792
Cu4 0.9980 0.9980 0.3436
Mo1 0.3327 0.3327 0.5025
Mo2 0.6661 0.6661 0.4981

Properties
- Space-group type: Cm (8)
- Calculated formation energy: 36.7 kJ per mole of atoms
- Calculated total energy: -5.521 eV per atom

=====

The following is a DFT calculation (GGA-PBE) of an optimized crystal structure of CsLuFeS3.

Cell lengths 10.2622, 3.9624, 15.4896 Å; angles 90.00, 90.00, 90.00 degrees
Fractional coordinates of all 24 atoms:
Cs1 0.2474 0.2500 0.0094
Cs2 0.2526 0.7500 0.5094
Cs3 0.7474 0.2500 0.4906
Cs4 0.7526 0.7500 0.9906
Lu1 0.0040 0.7500 0.2501
Lu2 0.4960 0.2500 0.7501
Lu3 0.5040 0.7500 0.2499
Lu4 0.9960 0.2500 0.7499
Fe1 0.2461 0.7500 0.7823
Fe2 0.2539 0.2500 0.2823
Fe3 0.7461 0.7500 0.7177
Fe4 0.7539 0.2500 0.2177
S1 0.0577 0.7500 0.8610
S2 0.0654 0.2500 0.3610
S3 0.2460 0.2500 0.6983
S4 0.2540 0.7500 0.1983
S5 0.4346 0.7500 0.8610
S6 0.4423 0.2500 0.3610
S7 0.5577 0.7500 0.6390
S8 0.5654 0.2500 0.1390
S9 0.7460 0.2500 0.8017
S10 0.7540 0.7500 0.3017
S11 0.9346 0.7500 0.6390
S12 0.9423 0.2500 0.1390

Properties
- Space-group type: Pnma (62)
- Relative energy among the computed polymorphs: 8 meV per atom
- Calculated total energy: -5.686 eV per atom